[1]
The following is a PBE calculation of a relaxed BePt2W crystal, from Alexandria via LeMat-Bulk.

Results
Total DFT energy (no corrections) (eV/atom): -7.445
Energy of formation (meV/atom): -254
Density (Mg/m³): 16.57

a = 2.7188 Å, b = 4.3308 Å, c = 4.9606 Å
α = 90.00°, β = 90.00°, γ = 90.00°
Last column: nearest neighbours and their distance in Å.
Space group Pmm2 (No. 25)
Symmetry-distinct sites (fractional):
1 Be 0.0000 0.0000 0.0000  6 Pt 2.44-2.57, 2 Be 2.72
2 Pt 0.5000 0.0000 0.5925  2 Be 2.44, 4 W 2.70, 2 Pt 2.72
3 Pt 0.5000 0.5000 0.9565  4 Be 2.57, 2 W 2.67, 4 Pt 2.72-2.82
4 W 0.0000 0.5000 0.4191  6 Pt 2.67-2.70, 2 W 2.72

***

[2]
The following is a PBE calculation of a relaxed Li2LaW crystal, from Alexandria via LeMat-Bulk.

Results
Total DFT energy (no corrections) (eV/atom): -4.629
Energy of formation (meV/atom): 798
Density (Mg/m³): 7.31

a = 6.7378 Å, b = 6.7378 Å, c = 6.7378 Å
α = 90.00°, β = 90.00°, γ = 90.00°
Last column: nearest neighbours and their distance in Å.
Space group Fm-3m (No. 225)
Symmetry-distinct sites (fractional):
1 Li 0.2500 0.2500 0.2500  4 La 2.92, 4 W 2.92
2 La 0.0000 0.0000 0.0000  8 Li 2.92
3 W 0.0000 0.0000 0.5000  8 Li 2.92

***

[3]
The following is a PBE calculation of a relaxed TcRuRh2 crystal, from Alexandria via LeMat-Bulk.

Results
Total DFT energy (no corrections) (eV/atom): -8.088
Energy of formation (meV/atom): 498
Density (Mg/m³): 10.19

a = 4.2149 Å, b = 11.8539 Å, c = 5.2821 Å
α = 90.00°, β = 90.00°, γ = 90.00°
Last column: nearest neighbours and their distance in Å.
Space group Cmcm (No. 63)
Symmetry-distinct sites (fractional):
1 Tc 0.0000 0.0123 0.2500  4 Rh 2.48-2.75, 2 Ru 2.51, 2 Tc 2.66
2 Ru 0.0000 0.3973 0.2500  2 Tc 2.51, 6 Rh 2.71-2.77
3 Rh 0.0000 0.1908 0.0035  2 Tc 2.48-2.75, 4 Rh 2.53-2.68, 3 Ru 2.71-2.77

***

[4]
The following is a PBE calculation of a relaxed MnOs2Au crystal, from Alexandria via LeMat-Bulk.

Results
Total DFT energy (no corrections) (eV/atom): -8.448
Energy of formation (meV/atom): 278
Density (Mg/m³): 18.06

a = 2.7120 Å, b = 2.7120 Å, c = 27.3919 Å
α = 90.00°, β = 90.00°, γ = 120.00°
Last column: nearest neighbours and their distance in Å.
Space group R-3m (No. 166, hexagonal axes)
Symmetry-distinct sites (fractional):
1 Mn 0.0000 0.0000 0.0000  6 Os 2.55, 6 Mn 2.71
2 Os 0.0000 0.0000 0.2598  3 Mn 2.55, 6 Os 2.71
3 Au 0.0000 0.0000 0.5000  6 Au 2.71, 6 Os 2.99

***

[5]
The following is a PBE calculation of a relaxed LiFeNi2 crystal, from Alexandria via LeMat-Bulk.

Results
Total DFT energy (no corrections) (eV/atom): -5.398
Energy of formation (meV/atom): 87
Density (Mg/m³): 6.49

a = 2.6485 Å, b = 4.1098 Å, c = 8.4668 Å
α = 90.00°, β = 90.00°, γ = 90.00°
Last column: nearest neighbours and their distance in Å.
Space group Cmm2 (No. 35)
Symmetry-distinct sites (fractional):
1 Li 0.0000 0.0000 0.0000  6 Li 2.44-2.65, 2 Ni 2.47, 2 Fe 2.64
2 Fe 0.0000 0.5000 0.2692  2 Ni 2.43, 6 Fe 2.44-2.65, 2 Li 2.64
3 Ni 0.0000 0.0000 0.5096  2 Fe 2.43, 8 Ni 2.44-2.65
4 Ni 0.0000 0.5000 0.7537  8 Ni 2.44-2.65, 2 Li 2.47

***

[6]
The following is a PBE calculation of a relaxed Ca4Tb3S8 crystal, from Alexandria via LeMat-Bulk.

Results
Total DFT energy (no corrections) (eV/atom): -5.734
Density (Mg/m³): 4.18

a = 11.1894 Å, b = 11.2384 Å, c = 7.9398 Å
α = 90.00°, β = 134.62°, γ = 90.00°
Last column: nearest neighbours and their distance in Å.
Space group C2/m (No. 12)
Symmetry-distinct sites (fractional):
1 Ca 0.0000 0.0000 0.0000  6 S 2.83-2.86
2 Ca 0.0000 0.5000 0.5000  6 S 2.78-2.80
3 Ca 0.2500 0.2500 0.0000  6 S 2.80-2.83
4 Tb 0.0000 0.5000 0.0000  6 S 2.74-2.79
5 Tb 0.2500 0.2500 0.5000  6 S 2.80-2.83
6 S 0.0000 0.2513 0.5000  3 Ca 2.79-2.83, 2 Tb 2.80
7 S 0.0000 0.2517 0.0000  3 Tb 2.79-2.83, 3 Ca 2.80-2.83
8 S 0.2413 0.5000 0.9922  1 Tb 2.74, 4 Ca 2.78-2.85
9 S 0.2476 0.5000 0.4943  3 Tb 2.79-2.81, 2 Ca 2.80-2.86

***

[7]
The following is a PBE calculation of a relaxed DyEr3Al crystal, from Alexandria via LeMat-Bulk.

Results
Total DFT energy (no corrections) (eV/atom): -4.387
Energy of formation (meV/atom): 20
Density (Mg/m³): 7.93

a = 13.3270 Å, b = 13.3110 Å, c = 6.6154 Å
α = 90.00°, β = 99.26°, γ = 90.00°
Last column: nearest neighbours and their distance in Å.
Space group C2/c (No. 15)
Symmetry-distinct sites (fractional):
1 Dy 0.1064 0.1814 0.1338  1 Al 3.00, 2 Er 3.30-3.35
2 Er 0.1047 0.0747 0.6182  1 Al 3.24, 3 Dy 3.35-3.51, 3 Er 3.41-3.58
3 Er 0.1519 0.3416 0.5182  2 Al 2.85-3.19
4 Er 0.1799 0.4155 0.0246  3 Al 3.02-3.31, 1 Er 3.25, 1 Dy 3.38
5 Al 0.0000 0.2788 0.7500  2 Er 2.85, 2 Dy 3.00, 1 Al 3.03
6 Al 0.0000 0.4937 0.2500  6 Er 3.02-3.19, 3 Al 3.03-3.31

***

[8]
The following is a PBE calculation of a relaxed Cs2KAg crystal, from Alexandria via LeMat-Bulk.

Results
Total DFT energy (no corrections) (eV/atom): -1.298
Energy of formation (meV/atom): 116
Density (Mg/m³): 2.77

a = 6.6115 Å, b = 6.6115 Å, c = 5.6523 Å
α = 90.00°, β = 90.00°, γ = 90.00°
Last column: nearest neighbours and their distance in Å.
Space group P4/mmm (No. 123)
Symmetry-distinct sites (fractional):
1 Cs 0.0000 0.5000 0.0000  4 Ag 4.35, 4 K 4.35, 4 Cs 4.68
2 K 0.0000 0.0000 0.5000  8 Cs 4.35, 4 Ag 4.68
3 Ag 0.5000 0.5000 0.5000  8 Cs 4.35, 4 K 4.68

***

Magnetic moment? In order: 0.00 0.00 0.00 0.59 3.30 0.00 0.00 0.00 μB per formula unit.